A:
MnCoTcGeSe PBE relaxed; ρ = 7.84 g/cm3; volume = 77 Å³ per cell; crystal system = monoclinic
1.0
4.0989 -1.5922 0.0000
4.0989 1.5922 0.0000
-3.0369 0.0000 5.8951
Mn Co Tc Ge Se
1 1 1 1 1
Direct
0.0000 0.0000 0.0000
0.3210 0.3210 0.7130
0.3263 0.3263 0.1237
0.6302 0.6302 0.7865
0.7046 0.7046 0.3665


B:
MnCoTcGeSe PBE relaxed; ρ = 8.13 g/cm3; volume = 74 Å³ per cell; crystal system = monoclinic
1.0
3.7245 -1.9436 0.0000
3.7245 1.9436 0.0000
-0.2773 0.0000 5.1267
Mn Co Tc Ge Se
1 1 1 1 1
Direct
0.0000 0.0000 0.0000
0.5515 0.5515 0.6476
0.6548 0.6548 0.1731
0.3050 0.3050 0.9045
0.9515 0.9515 0.4480


C:
MnCoTcGeSe PBE relaxed; ρ = 8.16 g/cm3; volume = 74 Å³ per cell; crystal system = trigonal
1.0
1.9157 1.1060 5.8202
-1.9157 1.1060 5.8202
0.0000 -2.2120 5.8202
Mn Co Tc Ge Se
1 1 1 1 1
Direct
0.0000 0.0000 0.0000
0.8621 0.8621 0.8621
0.7092 0.7092 0.7092
0.2658 0.2658 0.2658
0.4692 0.4692 0.4692


D:
MnCoTcGeSe PBE relaxed; ρ = 7.82 g/cm3; volume = 77 Å³ per cell; crystal system = monoclinic
1.0
7.2439 -1.4348 0.0000
7.2439 1.4348 0.0000
-0.0031 0.0000 3.7131
Mn Co Tc Ge Se
1 1 1 1 1
Direct
0.0000 0.0000 0.0000
0.2424 0.2424 0.5006
0.5839 0.5839 0.5001
0.7059 0.7059 0.0005
0.4074 0.4074 0.5019


The structure shown above that is least stable: C.